[1]
Crystalline HfCuIN2 at its relaxed geometry. Source: Alexandria, functional PBE.

Lattice parameters (Å, degrees): 4.0257 4.0257 4.8343 90.00 90.00 90.00
Fractional coordinates of all 5 atoms:
Hf: 0.0000 0.0000 0.0000
Cu: 0.5000 0.5000 0.5000
I: 0.5000 0.5000 0.0000
N: 0.0000 0.5000 0.5000
N: 0.5000 0.0000 0.5000

Summary:
Relative energy among the computed polymorphs, eV per atom: 1.036
Energy relative to the elements, uncorrected, eV per formula unit: 7.4

[2]
Crystalline K2Pu2S5 at its relaxed geometry. Source: Alexandria, functional PBE.

Lattice parameters (Å, degrees): 8.6298 8.6298 7.5798 90.00 90.00 52.04
Fractional coordinates of all 18 atoms:
K: 0.2055 0.2055 0.0000
K: 0.2945 0.2945 0.5000
K: 0.7055 0.7055 0.5000
K: 0.7945 0.7945 0.0000
Pu: 0.1667 0.8333 0.6663
Pu: 0.3333 0.6667 0.1663
Pu: 0.6667 0.3333 0.8337
Pu: 0.8333 0.1667 0.3337
S: 0.0000 0.0000 0.0000
S: 0.0326 0.7458 0.3568
S: 0.2458 0.5326 0.8568
S: 0.2542 0.9674 0.3568
S: 0.4674 0.7542 0.8568
S: 0.5000 0.5000 0.5000
S: 0.5326 0.2458 0.1432
S: 0.7458 0.0326 0.6432
S: 0.7542 0.4674 0.1432
S: 0.9674 0.2542 0.6432

Summary:
Energy relative to the elements, uncorrected, eV per formula unit: -12.5

[3]
Crystalline LiNbCdAu2 at its relaxed geometry. Source: Alexandria, functional PBE.

Lattice parameters (Å, degrees): 4.4873 4.4873 4.6464 90.00 90.00 90.00
Fractional coordinates of all 5 atoms:
Li: 0.0000 0.0000 0.0000
Nb: 0.0000 0.0000 0.5000
Cd: 0.5000 0.5000 0.5000
Au: 0.0000 0.5000 0.0000
Au: 0.5000 0.0000 0.0000

[4]
Crystalline Mg14CdCo at its relaxed geometry. Source: Alexandria, functional PBE.

Lattice parameters (Å, degrees): 6.2268 6.2268 10.1214 90.00 90.00 120.00
Fractional coordinates of all 16 atoms:
Mg: 0.0000 0.0000 0.2481
Mg: 0.0000 0.0000 0.7519
Mg: 0.0113 0.5057 0.2640
Mg: 0.0113 0.5057 0.7360
Mg: 0.3294 0.1647 0.5000
Mg: 0.3353 0.1677 0.0000
Mg: 0.4943 0.5057 0.2640
Mg: 0.4943 0.5057 0.7360
Mg: 0.4943 0.9887 0.2640
Mg: 0.4943 0.9887 0.7360
Mg: 0.8323 0.1677 0.0000
Mg: 0.8323 0.6647 0.0000
Mg: 0.8353 0.1647 0.5000
Mg: 0.8353 0.6706 0.5000
Cd: 0.3333 0.6667 0.0000
Co: 0.3333 0.6667 0.5000

[5]
Crystalline Mg2BC at its relaxed geometry. Source: Alexandria, functional PBE.

Lattice parameters (Å, degrees): 7.6683 7.6683 7.6683 149.45 149.45 43.74
Fractional coordinates of all 8 atoms:
Mg: 0.1092 0.6250 0.9842
Mg: 0.3750 0.3592 0.4842
Mg: 0.6408 0.1250 0.0158
Mg: 0.8750 0.8908 0.5158
B: 0.2500 0.7500 0.5000
B: 0.5000 0.5000 0.0000
C: 0.0000 0.0000 0.0000
C: 0.7500 0.2500 0.5000

Summary:
Relative energy among the computed polymorphs, eV per atom: 1.319

[6]
Crystalline Bi2PbW2 at its relaxed geometry. Source: Alexandria, functional PBE.

Lattice parameters (Å, degrees): 8.6223 8.6223 3.1629 90.00 90.00 90.00
Fractional coordinates of all 10 atoms:
Bi: 0.1493 0.3507 0.0000
Bi: 0.3507 0.8507 0.0000
Bi: 0.6493 0.1493 0.0000
Bi: 0.8507 0.6493 0.0000
Pb: 0.0000 0.0000 0.0000
Pb: 0.5000 0.5000 0.0000
W: 0.1390 0.6390 0.5000
W: 0.3610 0.1390 0.5000
W: 0.6390 0.8610 0.5000
W: 0.8610 0.3610 0.5000

Summary:
Relative energy among the computed polymorphs, eV per atom: 0.618

[7]
Crystalline AcEuAlHg at its relaxed geometry. Source: Alexandria, functional PBE.

Lattice parameters (Å, degrees): 5.5876 5.5876 5.5876 60.00 60.00 60.00
Fractional coordinates of all 4 atoms:
Ac: 0.0000 0.0000 0.0000
Eu: 0.5000 0.5000 0.5000
Al: 0.7500 0.7500 0.7500
Hg: 0.2500 0.2500 0.2500

[8]
Crystalline MgSb2IrC at its relaxed geometry. Source: Alexandria, functional PBE.

Lattice parameters (Å, degrees): 4.6686 4.6686 4.0441 90.00 90.00 90.00
Fractional coordinates of all 5 atoms:
Mg: 0.0000 0.0000 0.0000
Sb: 0.0000 0.5000 0.5000
Sb: 0.5000 0.0000 0.5000
Ir: 0.5000 0.5000 0.0000
C: 0.0000 0.0000 0.5000

Summary:
Energy relative to the elements, uncorrected, eV per formula unit: 3.4

[9]
Crystalline CdGeTeO6 at its relaxed geometry. Source: Alexandria, functional PBE.

Lattice parameters (Å, degrees): 5.1236 5.1236 9.9163 90.00 90.00 120.00
Fractional coordinates of all 18 atoms:
Cd: 0.0000 0.0000 0.0000
Cd: 0.0000 0.0000 0.5000
Ge: 0.3333 0.6667 0.2500
Ge: 0.6667 0.3333 0.7500
Te: 0.3333 0.6667 0.7500
Te: 0.6667 0.3333 0.2500
O: 0.0043 0.3738 0.1417
O: 0.0043 0.6305 0.3583
O: 0.3695 0.3738 0.3583
O: 0.3695 0.9957 0.1417
O: 0.3738 0.0043 0.6417
O: 0.3738 0.3695 0.8583
O: 0.6262 0.6305 0.1417
O: 0.6262 0.9957 0.3583
O: 0.6305 0.0043 0.8583
O: 0.6305 0.6262 0.6417
O: 0.9957 0.3695 0.6417
O: 0.9957 0.6262 0.8583

Summary:
Energy relative to the elements, uncorrected, eV per formula unit: -11.5

[10]
Crystalline SbIr2Br at its relaxed geometry. Source: Alexandria, functional PBE.

Lattice parameters (Å, degrees): 5.4975 5.4975 3.1039 106.11 106.11 114.51
Fractional coordinates of all 4 atoms:
Sb: 0.0000 0.0000 0.0000
Ir: 0.0000 0.5000 0.5000
Ir: 0.5000 0.0000 0.5000
Br: 0.5000 0.5000 0.0000

Summary:
Relative energy among the computed polymorphs, eV per atom: 0.460
Energy relative to the elements, uncorrected, eV per formula unit: 3.2

[11]
Crystalline K3UTe4 at its relaxed geometry. Source: Alexandria, functional PBE.

Lattice parameters (Å, degrees): 8.4836 8.4836 4.6524 90.00 90.00 107.96
Fractional coordinates of all 8 atoms:
K: 0.0000 0.0000 0.0000
K: 0.0000 0.5000 0.5000
K: 0.5000 0.0000 0.5000
U: 0.5000 0.5000 0.0000
Te: 0.2870 0.7130 0.0000
Te: 0.2961 0.2961 0.5000
Te: 0.7039 0.7039 0.5000
Te: 0.7130 0.2870 0.0000

Summary:
Relative energy among the computed polymorphs, eV per atom: 0.031
Energy relative to the elements, uncorrected, eV per formula unit: -7.2

[12]
Crystalline K2Tl3Sn at its relaxed geometry. Source: Alexandria, functional PBE.

Lattice parameters (Å, degrees): 6.8310 6.8310 8.7261 129.31 129.31 45.19
Fractional coordinates of all 6 atoms:
K: 0.0000 0.0000 0.0000
K: 0.1278 0.1278 0.6252
Tl: 0.4029 0.4029 0.2280
Tl: 0.4116 0.4116 0.5959
Tl: 0.7271 0.7271 0.3978
Sn: 0.7212 0.7212 0.0371

Values for electronic total energy, eV/atom, ordered as above
-4.9781 -7.1130 -3.3559 -1.8635 -3.3689 -6.2565 -4.9645 -4.8966 -5.5416 -5.0734 -4.2878 -2.3577